(1)
VASP calculation (PBE) on crystalline Dy3Cd7Ag2 at its relaxed geometry.

Results
Formation energy ... -1.59 eV/f.u.
Relative energy among the computed polymorphs ... 48.3 meV per atom
DFT total energy ... -27.51 eV for the cell shown

The structure in CIF format:
```
data_Dy3Cd7Ag2
_chemical_formula_sum 'Dy3 Cd7 Ag2'
_cell_length_a 5.076
_cell_length_b 4.380
_cell_length_c 13.108
_cell_angle_alpha 90.00
_cell_angle_beta 90.09
_cell_angle_gamma 90.00
_space_group_name_H-M_alt 'P 1 2/m 1'
_space_group_IT_number 10
loop_
_space_group_symop_operation_xyz
'x,y,z'
'-x,-y,-z'
'-x,y,-z'
'x,-y,z'
loop_
_atom_site_label
_atom_site_type_symbol
_atom_site_fract_x
_atom_site_fract_y
_atom_site_fract_z
_atom_site_occupancy
Dy1 Dy 0.000 0.000 0.000 1
Dy2 Dy 0.496 0.500 0.663 1
Cd1 Cd 0.002 0.500 0.167 1
Cd2 Cd 0.249 0.000 0.498 1
Cd3 Cd 0.500 0.000 0.160 1
Cd4 Cd 0.500 0.500 0.000 1
Ag1 Ag 0.002 0.000 0.700 1
```

=====

(2)
VASP calculation (PBE) on crystalline Dy2CdAg4 at its relaxed geometry.

Results
Formation energy ... -1.38 eV/f.u.
DFT total energy ... -68.72 eV for the cell shown

The structure in CIF format:
```
data_Dy2CdAg4
_chemical_formula_sum 'Dy6 Cd3 Ag12'
_cell_length_a 5.0014
_cell_length_b 5.0014
_cell_length_c 21.0962
_cell_angle_alpha 90.00
_cell_angle_beta 90.00
_cell_angle_gamma 120.00
_space_group_name_H-M_alt 'R -3 m'
_space_group_IT_number 166
_space_group_name_Hall '-R 3 2"'
loop_
_atom_site_label
_atom_site_type_symbol
_atom_site_fract_x
_atom_site_fract_y
_atom_site_fract_z
_atom_site_occupancy
Dy1 Dy 0.0000 0.0000 0.2242 1
Cd1 Cd 0.0000 0.0000 0.5000 1
Ag1 Ag 0.0000 0.0000 0.0679 1
Ag2 Ag 0.0000 0.0000 0.3641 1
```

=====

(3)
VASP calculation (PBE) on crystalline DyCd6Ag at its relaxed geometry.

Results
Formation energy ... -1.18 eV/f.u.
DFT total energy ... -14.13 eV for the cell shown

The structure in CIF format:
```
data_DyCd6Ag
_chemical_formula_sum 'Dy1 Cd6 Ag1'
_cell_length_a 4.648
_cell_length_b 4.648
_cell_length_c 8.239
_cell_angle_alpha 90.00
_cell_angle_beta 90.00
_cell_angle_gamma 90.00
_space_group_name_H-M_alt 'P 4/m m m'
_space_group_IT_number 123
_space_group_name_Hall '-P 4 2'
loop_
_atom_site_label
_atom_site_type_symbol
_atom_site_fract_x
_atom_site_fract_y
_atom_site_fract_z
_atom_site_occupancy
Dy1 Dy 0.000 0.000 0.000 1
Cd1 Cd 0.000 0.500 0.265 1
Cd2 Cd 0.500 0.500 0.000 1
Cd3 Cd 0.500 0.500 0.500 1
Ag1 Ag 0.000 0.000 0.500 1
```

=====

(4)
VASP calculation (PBE) on crystalline Dy6CdAg at its relaxed geometry.

Results
Formation energy ... -1.10 eV/f.u.
Relative energy among the computed polymorphs ... 0.0 meV per atom
DFT total energy ... -64.95 eV for the cell shown

The structure in CIF format:
```
data_Dy6CdAg
_chemical_formula_sum 'Dy12 Cd2 Ag2'
_cell_length_a 5.065
_cell_length_b 5.065
_cell_length_c 17.746
_cell_angle_alpha 90.00
_cell_angle_beta 90.00
_cell_angle_gamma 90.00
_space_group_name_H-M_alt 'I 4/m m m'
_space_group_IT_number 139
_space_group_name_Hall '-I 4 2'
loop_
_atom_site_label
_atom_site_type_symbol
_atom_site_fract_x
_atom_site_fract_y
_atom_site_fract_z
_atom_site_occupancy
Dy1 Dy 0.000 0.000 0.249 1
Dy2 Dy 0.000 0.500 0.111 1
Cd1 Cd 0.000 0.000 0.000 1
Ag1 Ag 0.000 0.000 0.500 1
```

=====

(5)
VASP calculation (PBE) on crystalline Dy2Cd4Ag at its relaxed geometry.

Results
Formation energy ... -1.78 eV/f.u.
DFT total energy ... -34.99 eV for the cell shown

The structure in CIF format:
```
data_Dy2Cd4Ag
_chemical_formula_sum 'Dy4 Cd8 Ag2'
_cell_length_a 8.435
_cell_length_b 4.885
_cell_length_c 8.600
_cell_angle_alpha 90.00
_cell_angle_beta 109.60
_cell_angle_gamma 90.00
_space_group_name_H-M_alt 'C 1 2/m 1'
_space_group_IT_number 12
loop_
_space_group_symop_operation_xyz
'x,y,z'
'-x,-y,-z'
'-x,y,-z'
'x,-y,z'
'x+1/2,y+1/2,z'
'-x+1/2,-y+1/2,-z'
'-x+1/2,y+1/2,-z'
'x+1/2,-y+1/2,z'
loop_
_atom_site_label
_atom_site_type_symbol
_atom_site_fract_x
_atom_site_fract_y
_atom_site_fract_z
_atom_site_occupancy
Dy1 Dy 0.072 0.000 0.214 1
Cd1 Cd 0.175 0.500 0.024 1
Cd2 Cd 0.200 0.000 0.601 1
Ag1 Ag 0.000 0.500 0.500 1
```

=====

(6)
VASP calculation (PBE) on crystalline DyCd2Ag at its relaxed geometry.

Results
Formation energy ... -0.75 eV/f.u.
DFT total energy ... -10.03 eV for the cell shown

The structure in CIF format:
```
data_DyCd2Ag
_chemical_formula_sum 'Dy1 Cd2 Ag1'
_cell_length_a 3.439
_cell_length_b 3.439
_cell_length_c 7.629
_cell_angle_alpha 90.00
_cell_angle_beta 90.00
_cell_angle_gamma 90.00
_space_group_name_H-M_alt 'P 4/m m m'
_space_group_IT_number 123
_space_group_name_Hall '-P 4 2'
loop_
_atom_site_label
_atom_site_type_symbol
_atom_site_fract_x
_atom_site_fract_y
_atom_site_fract_z
_atom_site_occupancy
Dy1 Dy 0.000 0.000 0.000 1
Cd1 Cd 0.500 0.500 0.281 1
Ag1 Ag 0.000 0.000 0.500 1
```